The following is a PBE calculation of a geometry-optimized Tm3Cd2Pt structure, from Alexandria.

abc: 9.144 9.144 9.144
angles: 132.70 59.32 146.31
Fractional positions:
Tm  0.136  0.000  0.636
Tm  0.136  0.500  0.136
Tm  0.496  0.246  0.250
Tm  0.504  0.754  0.750
Tm  0.864  0.000  0.364
Tm  0.864  0.500  0.864
Cd  0.303  0.750  0.554
Cd  0.304  0.250  0.054
Cd  0.696  0.750  0.946
Cd  0.697  0.250  0.446
Pt  0.004  0.254  0.750
Pt  0.996  0.746  0.250

Offset from the most stable computed form, meV/atom: 77
Magnetic moment, Bohr magnetons per cell: 0.0

The following is a PBE calculation of a geometry-optimized Tm4Cd3Pt structure, from Alexandria.

abc: 3.601 3.601 14.751
angles: 90.00 90.00 90.00
Fractional positions:
Tm  0.000  0.000  0.108
Tm  0.000  0.000  0.370
Tm  0.000  0.000  0.630
Tm  0.000  0.000  0.892
Cd  0.500  0.500  0.243
Cd  0.500  0.500  0.500
Cd  0.500  0.500  0.757
Pt  0.500  0.500  0.000

Electronic total energy, eV/atom: -3.898
Magnetic moment, Bohr magnetons per cell: 0.0

The following is a PBE calculation of a geometry-optimized Tm6Cd3Pt structure, from Alexandria.

abc: 8.996 5.215 11.446
angles: 90.00 109.64 90.00
Fractional positions:
Tm  0.032  0.250  0.416
Tm  0.178  0.750  0.168
Tm  0.274  0.250  0.004
Tm  0.352  0.750  0.830
Tm  0.369  0.250  0.347
Tm  0.396  0.250  0.644
Tm  0.604  0.750  0.356
Tm  0.631  0.750  0.653
Tm  0.648  0.250  0.170
Tm  0.726  0.750  0.996
Tm  0.822  0.250  0.832
Tm  0.968  0.750  0.584
Cd  0.017  0.750  0.871
Cd  0.094  0.250  0.718
Cd  0.272  0.750  0.476
Cd  0.728  0.250  0.524
Cd  0.906  0.750  0.282
Cd  0.983  0.250  0.129
Pt  0.446  0.750  0.097
Pt  0.554  0.250  0.903

Electronic total energy, eV/atom: -3.980
Magnetic moment, Bohr magnetons per cell: 0.0

The following is a PBE calculation of a geometry-optimized Tm2Cd2Pt3 structure, from Alexandria.

abc: 4.780 4.783 7.897
angles: 72.66 72.42 60.19
Fractional positions:
Tm  0.116  0.116  0.153
Tm  0.884  0.884  0.847
Cd  0.369  0.371  0.392
Cd  0.631  0.629  0.608
Pt  0.244  0.245  0.767
Pt  0.500  0.500  0.000
Pt  0.756  0.755  0.233

Electronic total energy, eV/atom: -5.022
Magnetic moment, Bohr magnetons per cell: 0.0

The following is a PBE calculation of a geometry-optimized Tm6CdPt structure, from Alexandria.

abc: 6.923 6.929 7.182
angles: 90.19 118.63 119.84
Fractional positions:
Tm  0.031  0.070  0.254
Tm  0.293  0.723  0.254
Tm  0.313  0.537  0.746
Tm  0.687  0.463  0.254
Tm  0.707  0.277  0.746
Tm  0.969  0.930  0.746
Cd  0.500  0.000  0.000
Pt  0.500  0.500  0.500

Electronic total energy, eV/atom: -4.371
Magnetic moment, Bohr magnetons per cell: 0.0

The following is a PBE calculation of a geometry-optimized Tm5Cd2Pt2 structure, from Alexandria.

abc: 8.798 8.798 7.475
angles: 90.00 90.00 51.65
Fractional positions:
Tm  0.000  0.000  0.000
Tm  0.055  0.705  0.669
Tm  0.205  0.555  0.169
Tm  0.295  0.945  0.669
Tm  0.445  0.795  0.169
Tm  0.500  0.500  0.500
Tm  0.555  0.205  0.831
Tm  0.705  0.055  0.331
Tm  0.795  0.445  0.831
Tm  0.945  0.295  0.331
Cd  0.216  0.216  0.000
Cd  0.284  0.284  0.500
Cd  0.716  0.716  0.500
Cd  0.784  0.784  0.000
Pt  0.133  0.867  0.366
Pt  0.367  0.633  0.866
Pt  0.633  0.367  0.134
Pt  0.867  0.133  0.634

Electronic total energy, eV/atom: -4.750
Magnetic moment, Bohr magnetons per cell: 0.0

The following is a PBE calculation of a geometry-optimized Tm3CdPt4 structure, from Alexandria.

abc: 4.825 4.825 6.799
angles: 90.00 90.00 90.00
Fractional positions:
Tm  0.000  0.000  0.000
Tm  0.000  0.000  0.500
Tm  0.500  0.500  0.000
Cd  0.500  0.500  0.500
Pt  0.000  0.500  0.245
Pt  0.000  0.500  0.755
Pt  0.500  0.000  0.245
Pt  0.500  0.000  0.755

Electronic total energy, eV/atom: -5.904
Magnetic moment, Bohr magnetons per cell: 0.0

The following is a PBE calculation of a geometry-optimized Tm6Cd5Pt structure, from Alexandria.

abc: 8.149 8.149 7.306
angles: 90.00 90.00 143.14
Fractional positions:
Tm  0.000  0.000  0.233
Tm  0.000  0.000  0.767
Tm  0.343  0.657  0.242
Tm  0.343  0.657  0.758
Tm  0.657  0.343  0.242
Tm  0.657  0.343  0.758
Cd  0.171  0.829  0.500
Cd  0.177  0.823  0.000
Cd  0.500  0.500  0.500
Cd  0.823  0.177  0.000
Cd  0.829  0.171  0.500
Pt  0.500  0.500  0.000

Electronic total energy, eV/atom: -3.599
Magnetic moment, Bohr magnetons per cell: 0.0

The following is a PBE calculation of a geometry-optimized Tm2CdPt9 structure, from Alexandria.

abc: 4.076 4.076 12.224
angles: 90.00 90.00 90.00
Fractional positions:
Tm  0.000  0.000  0.169
Tm  0.000  0.000  0.831
Cd  0.000  0.000  0.500
Pt  0.000  0.500  0.000
Pt  0.000  0.500  0.335
Pt  0.000  0.500  0.665
Pt  0.500  0.000  0.000
Pt  0.500  0.000  0.335
Pt  0.500  0.000  0.665
Pt  0.500  0.500  0.167
Pt  0.500  0.500  0.500
Pt  0.500  0.500  0.833

Electronic total energy, eV/atom: -6.137
Magnetic moment, Bohr magnetons per cell: 0.0

The following is a PBE calculation of a geometry-optimized Tm3CdPt structure, from Alexandria.

abc: 5.665 5.824 8.758
angles: 102.36 101.81 110.42
Fractional positions:
Tm  0.073  0.199  0.284
Tm  0.295  0.421  0.717
Tm  0.296  0.796  0.094
Tm  0.704  0.204  0.906
Tm  0.705  0.579  0.283
Tm  0.927  0.801  0.716
Cd  0.301  0.782  0.496
Cd  0.699  0.218  0.504
Pt  0.251  0.249  0.001
Pt  0.749  0.751  0.999

Electronic total energy, eV/atom: -4.720
Magnetic moment, Bohr magnetons per cell: 0.0

The following is a PBE calculation of a geometry-optimized Tm2Cd2Pt structure, from Alexandria.

abc: 9.988 9.988 9.988
angles: 160.16 160.16 28.20
Fractional positions:
Tm  0.086  0.086  0.000
Tm  0.914  0.914  0.000
Cd  0.299  0.299  0.000
Cd  0.701  0.701  0.000
Pt  0.500  0.500  0.000

Electronic total energy, eV/atom: -4.030
Magnetic moment, Bohr magnetons per cell: 0.0

The following is a PBE calculation of a geometry-optimized Tm6Cd2Pt structure, from Alexandria.

abc: 6.716 7.358 12.087
angles: 90.00 121.57 90.00
Fractional positions:
Tm  0.130  0.008  0.245
Tm  0.130  0.492  0.745
Tm  0.198  0.698  0.039
Tm  0.198  0.802  0.539
Tm  0.359  0.176  0.043
Tm  0.359  0.324  0.543
Tm  0.641  0.676  0.457
Tm  0.641  0.824  0.957
Tm  0.802  0.198  0.461
Tm  0.802  0.302  0.961
Tm  0.870  0.508  0.255
Tm  0.870  0.992  0.755
Cd  0.313  0.099  0.751
Cd  0.313  0.401  0.251
Cd  0.687  0.599  0.749
Cd  0.687  0.901  0.249
Pt  0.500  0.000  0.500
Pt  0.500  0.500  0.000

Electronic total energy, eV/atom: -4.175
Magnetic moment, Bohr magnetons per cell: 0.0

The following is a PBE calculation of a geometry-optimized Tm3Cd2Pt structure, from Alexandria.

abc: 5.075 5.075 6.262
angles: 90.00 90.00 120.00
Fractional positions:
Tm  0.000  0.000  0.000
Tm  0.333  0.667  0.644
Tm  0.667  0.333  0.356
Cd  0.333  0.667  0.143
Cd  0.667  0.333  0.857
Pt  0.000  0.000  0.500

Offset from the most stable computed form, meV/atom: 0
Magnetic moment, Bohr magnetons per cell: 0.0

The following is a PBE calculation of a geometry-optimized YTmCdPt structure, from Alexandria.

abc: 5.068 5.068 5.068
angles: 60.00 60.00 60.00
Fractional positions:
Y  0.000  0.000  0.000
Tm  0.500  0.500  0.500
Cd  0.250  0.250  0.250
Pt  0.750  0.750  0.750

Electronic total energy, eV/atom: -5.217
Magnetic moment, Bohr magnetons per cell: 0.0

The following is a PBE calculation of a geometry-optimized Tm2Zn2CdPt5 structure, from Alexandria.

abc: 9.557 9.557 3.866
angles: 90.00 90.00 90.00
Fractional positions:
Tm  0.177  0.323  0.000
Tm  0.323  0.823  0.000
Tm  0.677  0.177  0.000
Tm  0.823  0.677  0.000
Zn  0.121  0.621  0.000
Zn  0.379  0.121  0.000
Zn  0.621  0.879  0.000
Zn  0.879  0.379  0.000
Cd  0.000  0.000  0.000
Cd  0.500  0.500  0.000
Pt  0.000  0.500  0.500
Pt  0.070  0.793  0.500
Pt  0.207  0.070  0.500
Pt  0.293  0.570  0.500
Pt  0.430  0.293  0.500
Pt  0.500  0.000  0.500
Pt  0.570  0.707  0.500
Pt  0.707  0.430  0.500
Pt  0.793  0.930  0.500
Pt  0.930  0.207  0.500

Electronic total energy, eV/atom: -5.074
Magnetic moment, Bohr magnetons per cell: 0.0

The following is a PBE calculation of a geometry-optimized TmZnCdPt structure, from Alexandria.

abc: 4.775 4.775 4.775
angles: 60.00 60.00 60.00
Fractional positions:
Tm  0.000  0.000  0.000
Zn  0.750  0.750  0.750
Cd  0.500  0.500  0.500
Pt  0.250  0.250  0.250

Electronic total energy, eV/atom: -3.773
Magnetic moment, Bohr magnetons per cell: 0.0

The following is a PBE calculation of a geometry-optimized TmZrCdPt structure, from Alexandria.

abc: 4.938 4.938 4.938
angles: 60.00 60.00 60.00
Fractional positions:
Tm  0.000  0.000  0.000
Zr  0.500  0.500  0.500
Cd  0.250  0.250  0.250
Pt  0.750  0.750  0.750

Electronic total energy, eV/atom: -5.543
Magnetic moment, Bohr magnetons per cell: 0.0

The following is a PBE calculation of a geometry-optimized U2CdPt7 structure, from Alexandria.

abc: 12.804 12.804 12.804
angles: 162.17 162.17 25.32
Fractional positions:
U  0.166  0.166  0.000
U  0.834  0.834  0.000
Cd  0.500  0.500  0.000
Pt  0.000  0.000  0.000
Pt  0.088  0.588  0.500
Pt  0.250  0.750  0.500
Pt  0.412  0.912  0.500
Pt  0.588  0.088  0.500
Pt  0.750  0.250  0.500
Pt  0.912  0.412  0.500

Electronic total energy, eV/atom: -7.007
Magnetic moment, Bohr magnetons per cell: 2.8

The following is a PBE calculation of a geometry-optimized UCdPt2 structure, from Alexandria.

abc: 3.274 3.274 7.233
angles: 90.00 90.00 90.00
Fractional positions:
U  0.000  0.000  0.000
Cd  0.000  0.000  0.500
Pt  0.500  0.500  0.248
Pt  0.500  0.500  0.752

Electronic total energy, eV/atom: -6.596
Magnetic moment, Bohr magnetons per cell: 1.2

The following is a PBE calculation of a geometry-optimized UCdPt6 structure, from Alexandria.

abc: 4.125 4.125 8.065
angles: 90.00 90.00 90.00
Fractional positions:
U  0.000  0.000  0.000
Cd  0.000  0.000  0.500
Pt  0.000  0.500  0.244
Pt  0.000  0.500  0.756
Pt  0.500  0.000  0.244
Pt  0.500  0.000  0.756
Pt  0.500  0.500  0.000
Pt  0.500  0.500  0.500

Offset from the most stable computed form, meV/atom: 0
Magnetic moment, Bohr magnetons per cell: 0.3

Asked for density of states at the Fermi level across the records above, the calculation gives 10.3 6.1 16.7 3.0 10.5 14.8 3.6 8.3 12.3 7.0 2.3 17.3 4.1 2.9 7.9 1.8 4.4 13.7 3.8 4.0 states/eV/cell in order.
Asked for V across the records above, the calculation gives 309 191 506 147 249 454 158 291 203 252 115 509 140 92 353 77 85 197 78 137 Å³ per cell in order.